First-principles (GGA-PBE) data for an optimized crystal structure of AcTb2Ho7, as listed in the Alexandria database.

abc: 5.7259 8.1801 8.4391
angles: 114.74 98.74 102.51
Closest atoms and distances in Å follow each position.
Atoms (fractional coordinates):
Ac 0.0000 0.0000 0.0000  4 Ho 3.49-3.54
Tb 0.1294 0.2142 0.5514  1 Tb 3.17, 6 Ho 3.24-3.55
Tb 0.8706 0.7858 0.4486  1 Tb 3.17, 6 Ho 3.24-3.55
Ho 0.0000 0.5000 0.0000  4 Ho 3.16-3.36
Ho 0.2533 0.5397 0.4061  3 Tb 3.24-3.55, 6 Ho 3.28-3.58
Ho 0.4143 0.6671 0.8518  4 Ho 3.16-3.38, 1 Tb 3.33, 1 Ac 3.49
Ho 0.4828 0.9664 0.2902  5 Ho 3.32-3.71, 3 Tb 3.33-3.63, 1 Ac 3.54
Ho 0.5172 0.0336 0.7098  5 Ho 3.32-3.71, 3 Tb 3.33-3.63, 1 Ac 3.54
Ho 0.5857 0.3329 0.1482  4 Ho 3.16-3.38, 1 Tb 3.33, 1 Ac 3.49
Ho 0.7467 0.4603 0.5939  3 Tb 3.24-3.55, 6 Ho 3.28-3.58

ΔE_f in eV per atom: 0.22
N(E_F) in states/eV/cell: 16.14


First-principles (GGA-PBE) data for an optimized crystal structure of CsTlPdPb, as listed in the Alexandria database.

abc: 7.7891 7.7891 7.7891
angles: 35.64 35.64 35.64
Closest atoms and distances in Å follow each position.
Atoms (fractional coordinates):
Cs 0.0000 0.0000 0.0000  1 Pd 3.73, 3 Pb 3.89, 3 Tl 3.92
Tl 0.7943 0.7943 0.7943  3 Pd 2.91
Pd 0.1707 0.1707 0.1707  3 Pb 2.87, 3 Tl 2.91
Pb 0.5409 0.5409 0.5409  3 Pd 2.87

ΔE_f in eV per atom: -0.14
N(E_F) in states/eV/cell: 3.60


First-principles (GGA-PBE) data for an optimized crystal structure of Pm8P3Se4Br, as listed in the Alexandria database.

abc: 8.3749 8.3749 8.3749
angles: 59.89 59.89 59.89
Closest atoms and distances in Å follow each position.
Atoms (fractional coordinates):
Pm 0.2241 0.7574 0.7574  2 P 2.85, 3 Se 2.88-3.07, 1 Br 3.05
Pm 0.2430 0.2430 0.2430  3 P 2.88, 3 Se 3.04
Pm 0.2426 0.2426 0.7759  2 P 2.85, 3 Se 2.88-3.07, 1 Br 3.05
Pm 0.2426 0.7759 0.2426  2 P 2.85, 3 Se 2.88-3.07, 1 Br 3.05
Pm 0.7574 0.2241 0.7574  2 P 2.85, 3 Se 2.88-3.07, 1 Br 3.05
Pm 0.7574 0.7574 0.2241  2 P 2.85, 3 Se 2.88-3.07, 1 Br 3.05
Pm 0.7570 0.7570 0.7570  3 P 2.88, 3 Se 3.04
Pm 0.7759 0.2426 0.2426  2 P 2.85, 3 Se 2.88-3.07, 1 Br 3.05
P 0.0000 0.0000 0.5000  6 Pm 2.85-2.88
P 0.0000 0.5000 0.0000  6 Pm 2.85-2.88
P 0.5000 0.0000 0.0000  6 Pm 2.85-2.88
Se 0.0000 0.0000 0.0000  6 Pm 2.88
Se 0.0000 0.5000 0.5000  6 Pm 3.04-3.07
Se 0.5000 0.0000 0.5000  6 Pm 3.04-3.07
Se 0.5000 0.5000 0.0000  6 Pm 3.04-3.07
Br 0.5000 0.5000 0.5000  6 Pm 3.05

N(E_F) in states/eV/cell: 6.44
Formation energy from raw total energies in eV/f.u.: -27.473


First-principles (GGA-PBE) data for an optimized crystal structure of Sm7Sn2Rh2, as listed in the Alexandria database.

abc: 6.9539 6.9539 7.2007
angles: 90.00 90.00 107.16
Closest atoms and distances in Å follow each position.
Atoms (fractional coordinates):
Sm 0.0000 0.0000 0.0000  2 Rh 3.20
Sm 0.0000 0.5000 0.2512  2 Rh 2.77
Sm 0.0000 0.5000 0.7488  2 Rh 2.77
Sm 0.5000 0.0000 0.2512  2 Rh 2.77
Sm 0.5000 0.0000 0.7488  2 Rh 2.77
Sm 0.5000 0.5000 0.2381  2 Rh 2.95, 2 Sn 3.26
Sm 0.5000 0.5000 0.7619  2 Rh 2.95, 2 Sn 3.26
Sn 0.1786 0.1786 0.5000  1 Sn 2.95, 2 Sm 3.26
Sn 0.8214 0.8214 0.5000  1 Sn 2.95, 2 Sm 3.26
Rh 0.2857 0.7143 0.0000  6 Sm 2.77-2.95
Rh 0.7143 0.2857 0.0000  6 Sm 2.77-2.95

ΔE_f in eV per atom: -0.47
N(E_F) in states/eV/cell: 11.03


First-principles (GGA-PBE) data for an optimized crystal structure of Be2IrRu, as listed in the Alexandria database.

abc: 2.6550 3.6161 4.8720
angles: 90.00 93.01 90.00
Closest atoms and distances in Å follow each position.
Atoms (fractional coordinates):
Be 0.1135 0.0000 0.2242  1 Be 2.24, 2 Ir 2.28, 2 Ru 2.37
Be 0.8865 0.0000 0.7758  1 Be 2.24, 2 Ir 2.28, 2 Ru 2.37
Ir 0.0000 0.5000 0.5000  4 Be 2.28
Ru 0.5000 0.5000 0.0000  8 Be 2.37-2.63, 2 Ru 2.66

ΔE_f in eV per atom: -0.18
N(E_F) in states/eV/cell: 2.49


First-principles (GGA-PBE) data for an optimized crystal structure of Pm3MgNi, as listed in the Alexandria database.

abc: 9.1091 6.8399 10.2018
angles: 90.00 119.82 90.00
Closest atoms and distances in Å follow each position.
Atoms (fractional coordinates):
Pm 0.0945 0.0008 0.3095  2 Ni 2.84
Pm 0.0945 0.4992 0.8095  2 Ni 2.84
Pm 0.2427 0.0002 0.0643  2 Ni 2.83-2.84
Pm 0.2427 0.4998 0.5643  2 Ni 2.83-2.84
Pm 0.3032 0.9999 0.7012  2 Ni 2.85
Pm 0.3032 0.5001 0.2012  2 Ni 2.85
Pm 0.6968 0.0001 0.2988  2 Ni 2.85
Pm 0.6968 0.4999 0.7988  2 Ni 2.85
Pm 0.7573 0.9998 0.9357  2 Ni 2.83-2.84
Pm 0.7573 0.5002 0.4357  2 Ni 2.83-2.84
Pm 0.9055 0.5008 0.1905  2 Ni 2.84
Pm 0.9055 0.9992 0.6905  2 Ni 2.84
Mg 0.5001 0.2100 0.5000  1 Mg 2.87
Mg 0.5001 0.2900 0.0000  1 Mg 2.87
Mg 0.4999 0.7100 0.0000  1 Mg 2.87
Mg 0.4999 0.7900 0.5000  1 Mg 2.87
Ni 0.0000 0.2018 0.5004  1 Ni 2.76, 6 Pm 2.83-2.85
Ni 0.0000 0.2982 0.0004  1 Ni 2.76, 6 Pm 2.83-2.85
Ni 0.0000 0.7018 0.9996  1 Ni 2.76, 6 Pm 2.83-2.85
Ni 0.0000 0.7982 0.4996  1 Ni 2.76, 6 Pm 2.83-2.85

ΔE_f in eV per atom: -0.14
N(E_F) in states/eV/cell: 18.06


First-principles (GGA-PBE) data for an optimized crystal structure of Ca2RuW, as listed in the Alexandria database.

abc: 4.9797 4.9797 4.9797
angles: 60.00 60.00 60.00
Closest atoms and distances in Å follow each position.
Atoms (fractional coordinates):
Ca 0.2500 0.2500 0.2500  4 W 3.05, 4 Ru 3.05
Ca 0.7500 0.7500 0.7500  4 W 3.05, 4 Ru 3.05
Ru 0.0000 0.0000 0.0000  8 Ca 3.05
W 0.5000 0.5000 0.5000  8 Ca 3.05

ΔE_f in eV per atom: 1.12
N(E_F) in states/eV/cell: 4.67


First-principles (GGA-PBE) data for an optimized crystal structure of CeTcO, as listed in the Alexandria database.

abc: 8.3275 8.3275 8.3275
angles: 27.75 27.75 27.75
Closest atoms and distances in Å follow each position.
Atoms (fractional coordinates):
Ce 0.1038 0.1038 0.1038  4 O 2.33-2.41
Ce 0.8962 0.8962 0.8962  4 O 2.33-2.41
Tc 0.3424 0.3424 0.3424  3 Tc 2.35
Tc 0.6576 0.6576 0.6576  3 Tc 2.35
O 0.2009 0.2009 0.2009  4 Ce 2.33-2.41
O 0.7991 0.7991 0.7991  4 Ce 2.33-2.41

N(E_F) in states/eV/cell: 8.61
Formation energy from raw total energies in eV/f.u.: -4.900